This record from Alexandria via LeMat-Bulk describes a relaxed structure of Pm4In2Pb. The functional is PBE-GGA.

Computed properties:
- total moment (μB per atom) = 0.000
- total DFT energy (no corrections) (eV per atom) = -4.348

Cell: 5.4043 5.4043 26.4447 Å, 90.00 90.00 120.00°
Space group R-3m (No. 166, hexagonal axes)
Unique sites:
Pm 0.0000 0.0000 0.1191
Pm 0.0000 0.0000 0.3720
In 0.0000 0.0000 0.2526
Pb 0.0000 0.0000 0.5000